{
  "formula": "Ba3Ag2",
  "functional": "GGA-PBE",
  "state": "optimized geometry",
  "dos_ef_per_ev_cell": 12.964,
  "spacegroup": "R-3, No. 148",
  "m_tot_mub_per_cell": 0.00,
  "de_polymorph_mev_per_atom": 0,
  "ef_ev_per_fu": -1.10,
  "vol_a3_per_cell": 631,
  "final_energy_ha_per_atom": -0.092,
  "cell": [[5.2892, 3.0537, 6.5063], [-5.2892, 3.0537, 6.5063], [0.0000, -6.1075, 6.5063]],
  "species": ["Ba", "Ba", "Ba", "Ba", "Ba", "Ba", "Ba", "Ba", "Ba", "Ag", "Ag", "Ag", "Ag", "Ag", "Ag"],
  "fractional_positions": [[0.0000, 0.0000, 0.0000], [0.1653, 0.3857, 0.6671], [0.2065, 0.2065, 0.2065], [0.3329, 0.8347, 0.6143], [0.3857, 0.6671, 0.1653], [0.6143, 0.3329, 0.8347], [0.6671, 0.1653, 0.3857], [0.7935, 0.7935, 0.7935], [0.8347, 0.6143, 0.3329], [0.0371, 0.8658, 0.4096], [0.1342, 0.5904, 0.9629], [0.4096, 0.0371, 0.8658], [0.5904, 0.9629, 0.1342], [0.8658, 0.4096, 0.0371], [0.9629, 0.1342, 0.5904]]
}